[1]
10
Lattice="4.215 0.000 0.000 0.000 4.215 0.000 0.000 0.000 16.411" Properties=species:S:1:pos:R:3 comment="Ce5SnPb4, relaxed, DFT PBE" energy_ev_per_atom=-5.291 dos_at_fermi_per_ev_atom=2.88 space_group="No. 123" crystal_system=tetragonal pbc="T T T"
Ce 2.108 2.108 4.903
Pb 0.000 0.000 3.225
Ce 2.108 2.108 11.508
Pb 0.000 0.000 9.851
Ce 2.108 2.108 1.536
Sn 0.000 0.000 0.000
Ce 2.108 2.108 14.875
Ce 2.108 2.108 8.205
Pb 0.000 0.000 6.560
Pb 0.000 0.000 13.186


[2]
13
Lattice="-3.780 -0.561 -3.649 -0.320 -4.464 -2.808 -7.016 -5.302 4.257" Properties=species:S:1:pos:R:3 comment="Ag6Pd7, relaxed, DFT PBE" energy_ev_per_atom=-4.066 dos_at_fermi_per_ev_atom=0.72 space_group="No. 166" crystal_system=trigonal pbc="T T T"
Ag -4.201 -3.495 1.064
Pd -3.897 -1.979 -1.380
Pd -2.182 -3.914 -0.964
Ag -6.915 -6.832 -3.264
Ag -8.145 -6.824 1.836
Pd -2.023 -1.701 0.428
Pd -7.219 -8.347 -0.819
Ag -6.398 -5.702 -0.147
Pd -9.092 -8.625 -2.628
Ag -4.718 -4.624 -2.053
Pd 0.000 0.000 0.000
Pd -8.934 -6.413 -1.236
Ag -2.970 -3.502 -4.035


[3]
5
Lattice="-1.792 4.366 1.032 -5.310 -1.959 -0.931 -0.356 -1.246 4.653" Properties=species:S:1:pos:R:3 comment="CaV2PtBr, relaxed, DFT PBE" energy_ev_per_atom=-5.066 dos_at_fermi_per_ev_atom=1.00 space_group="No. 123" crystal_system=tetragonal pbc="T T T"
Pt 0.000 0.000 0.000
V -0.896 2.183 0.516
Ca -3.729 0.580 2.377
V -0.178 -0.623 2.327
Br -2.655 -0.980 -0.465


Q: Which formula does entry 1 have?
A: Ce5SnPb4